Record 1
# BaPd2F2 | the Alexandria database | GGA-PBE | optimized geometry
data_BaPd2F2
_chemical_formula_sum 'Ba2 Pd4 F4'
_cell_length_a 6.7945
_cell_length_b 6.7945
_cell_length_c 4.4864
_cell_angle_alpha 90.00
_cell_angle_beta 90.00
_cell_angle_gamma 90.00
_space_group_name_H-M_alt 'P 1'
_space_group_IT_number 1
loop_
_space_group_symop_operation_xyz
'x,y,z'
loop_
_atom_site_label
_atom_site_type_symbol
_atom_site_fract_x
_atom_site_fract_y
_atom_site_fract_z
Ba1 Ba 0.0000 0.0000 0.0000
Ba2 Ba 0.5000 0.5000 0.0000
Pd1 Pd 0.1446 0.6446 0.5000
Pd2 Pd 0.6446 0.8554 0.5000
Pd3 Pd 0.8554 0.3554 0.5000
Pd4 Pd 0.3554 0.1446 0.5000
F1 F 0.1514 0.6514 0.0000
F2 F 0.6514 0.8486 0.0000
F3 F 0.8486 0.3486 0.0000
F4 F 0.3486 0.1514 0.0000
# total magnetization = 0.0 μB/cell
# space group = P4/mbm (127)
# volume = 20.7 Å³ per atom
# D(E_F) = 5.51 states/eV per cell
# formation energy (no corrections) = -1.370 eV per atom
# crystal system = tetragonal
# ΔE to the lowest computed polymorph = 0.138 eV/atom



Record 2
# Ba2PdF5 | the Alexandria database | GGA-PBE | optimized geometry
data_Ba2PdF5
_chemical_formula_sum 'Ba2 Pd1 F5'
_cell_length_a 5.9245
_cell_length_b 5.9245
_cell_length_c 5.8073
_cell_angle_alpha 120.67
_cell_angle_beta 120.67
_cell_angle_gamma 90.00
_space_group_name_H-M_alt 'P 1'
_space_group_IT_number 1
loop_
_space_group_symop_operation_xyz
'x,y,z'
loop_
_atom_site_label
_atom_site_type_symbol
_atom_site_fract_x
_atom_site_fract_y
_atom_site_fract_z
Ba1 Ba 0.2486 0.7485 0.4969
Ba2 Ba 0.7485 0.2486 0.4969
Pd1 Pd 0.0346 0.0346 0.0691
F1 F 0.7462 0.2565 0.0026
F2 F 0.2563 0.2563 0.0022
F3 F 0.7463 0.7463 0.0029
F4 F 0.2565 0.7461 0.0025
F5 F 0.7401 0.7401 0.4808
# total magnetization = 1.0 μB/cell
# space group = I4mm (107)
# volume = 17.6 Å³ per atom
# formation energy (no corrections) = -2.759 eV per atom
# crystal system = tetragonal



Energy for the records above, in order: -4.581; -5.058 eV/atom